Entry from Alexandria via LeMat-Bulk: Ge2WI at its PBEsol-relaxed geometry (SCAN).

abc: 6.6725 6.6725 6.6725
angles: 90.00 90.00 90.00
Atoms (fractional coordinates):
Ge (0.2500, 0.2500, 0.2500)
Ge (0.2500, 0.2500, 0.7500)
Ge (0.2500, 0.7500, 0.2500)
Ge (0.2500, 0.7500, 0.7500)
Ge (0.7500, 0.2500, 0.2500)
Ge (0.7500, 0.2500, 0.7500)
Ge (0.7500, 0.7500, 0.2500)
Ge (0.7500, 0.7500, 0.7500)
W (0.0000, 0.0000, 0.0000)
W (0.0000, 0.5000, 0.5000)
W (0.5000, 0.0000, 0.5000)
W (0.5000, 0.5000, 0.0000)
I (0.0000, 0.0000, 0.5000)
I (0.0000, 0.5000, 0.0000)
I (0.5000, 0.0000, 0.0000)
I (0.5000, 0.5000, 0.5000)

Properties
calculated density = 10.20 g/cm3
total moment = 0.00 μB per formula unit
E_form (uncorrected) = 5.72 eV per formula unit
space group = Fm-3m